{
  "formula": "LaZn2Fe",
  "functional": "GGA-PBE",
  "state": "relaxed",
  "dft_energy_ev_per_cell": -14.73,
  "formation_enthalpy_0k_ev_per_atom": 0.30,
  "lattice_angstrom": [[2.670, -4.769, 0.000], [2.670, 4.769, 0.000], [-0.051, 0.000, 3.004]],
  "species": ["La", "Zn", "Zn", "Fe"],
  "frac_coords": [[0.000, 0.000, 0.000], [0.000, 0.500, 0.500], [0.500, 0.000, 0.500], [0.500, 0.500, 0.000]]
}